# 1
# BaVBi3, optimized geometry, DFT GGA-PBE
data_BaVBi3
_chemical_formula_sum 'Ba1 V1 Bi3'
_cell_length_a 6.263
_cell_length_b 6.263
_cell_length_c 6.263
_cell_angle_alpha 90.00
_cell_angle_beta 90.00
_cell_angle_gamma 90.00
_symmetry_space_group_name_H-M 'P m -3 m'
_symmetry_Int_Tables_number 221
_symmetry_space_group_name_Hall '-P 4 2 3'
loop_
_atom_site_label
_atom_site_type_symbol
_atom_site_fract_x
_atom_site_fract_y
_atom_site_fract_z
Ba1 Ba 0.000 0.000 0.000
V1 V 0.500 0.500 0.500
Bi1 Bi 0.000 0.000 0.500
# Energy of formation in kJ per mole of atoms: 134
# Final energy in eV/atom: -3.150
# Energy relative to the lowest polymorph listed for this composition in meV per atom: 1503

---

# 2
# BaVBi2, optimized geometry, DFT GGA-PBE
data_BaVBi2
_chemical_formula_sum 'Ba4 V4 Bi8'
_cell_length_a 7.888
_cell_length_b 7.888
_cell_length_c 7.888
_cell_angle_alpha 90.00
_cell_angle_beta 90.00
_cell_angle_gamma 90.00
_symmetry_space_group_name_H-M 'F m -3 m'
_symmetry_Int_Tables_number 225
_symmetry_space_group_name_Hall '-F 4 2 3'
loop_
_atom_site_label
_atom_site_type_symbol
_atom_site_fract_x
_atom_site_fract_y
_atom_site_fract_z
Ba1 Ba 0.000 0.000 0.000
V1 V 0.000 0.000 0.500
Bi1 Bi 0.250 0.250 0.250
# Energy of formation in kJ per mole of atoms: 6
# Final energy in eV/atom: -4.636
# Energy relative to the lowest polymorph listed for this composition in meV per atom: 19

---

# 3
# BaVBi3, optimized geometry, DFT GGA-PBE
data_BaVBi3
_chemical_formula_sum 'Ba1 V1 Bi3'
_cell_length_a 5.460
_cell_length_b 5.460
_cell_length_c 5.460
_cell_angle_alpha 90.00
_cell_angle_beta 90.00
_cell_angle_gamma 90.00
_symmetry_space_group_name_H-M 'P m -3 m'
_symmetry_Int_Tables_number 221
_symmetry_space_group_name_Hall '-P 4 2 3'
loop_
_atom_site_label
_atom_site_type_symbol
_atom_site_fract_x
_atom_site_fract_y
_atom_site_fract_z
Ba1 Ba 0.000 0.000 0.000
V1 V 0.500 0.500 0.500
Bi1 Bi 0.000 0.500 0.500
# Energy of formation in kJ per mole of atoms: -11
# Final energy in eV/atom: -4.653
# Energy relative to the lowest polymorph listed for this composition in meV per atom: 0

---

# 4
# Ba3VBi, optimized geometry, DFT GGA-PBE
data_Ba3VBi
_chemical_formula_sum 'Ba3 V1 Bi1'
_cell_length_a 5.977
_cell_length_b 5.977
_cell_length_c 5.977
_cell_angle_alpha 90.00
_cell_angle_beta 90.00
_cell_angle_gamma 90.00
_symmetry_space_group_name_H-M 'P m -3 m'
_symmetry_Int_Tables_number 221
_symmetry_space_group_name_Hall '-P 4 2 3'
loop_
_atom_site_label
_atom_site_type_symbol
_atom_site_fract_x
_atom_site_fract_y
_atom_site_fract_z
Ba1 Ba 0.000 0.000 0.500
V1 V 0.000 0.000 0.000
Bi1 Bi 0.500 0.500 0.500
# Energy of formation in kJ per mole of atoms: 31
# Final energy in eV/atom: -3.431

---

# 5
# BaY2VBi, optimized geometry, DFT GGA-PBE
data_BaY2VBi
_chemical_formula_sum 'Ba1 Y2 V1 Bi1'
_cell_length_a 5.722
_cell_length_b 5.722
_cell_length_c 4.934
_cell_angle_alpha 90.00
_cell_angle_beta 90.00
_cell_angle_gamma 90.00
_symmetry_space_group_name_H-M 'P 4/m m m'
_symmetry_Int_Tables_number 123
_symmetry_space_group_name_Hall '-P 4 2'
loop_
_atom_site_label
_atom_site_type_symbol
_atom_site_fract_x
_atom_site_fract_y
_atom_site_fract_z
Ba1 Ba 0.000 0.000 0.000
Y1 Y 0.000 0.500 0.000
V1 V 0.000 0.000 0.500
Bi1 Bi 0.500 0.500 0.500
# Energy of formation in kJ per mole of atoms: 120
# Final energy in eV/atom: -4.321

---

# 6
# BaYV2Bi, optimized geometry, DFT GGA-PBE
data_BaYV2Bi
_chemical_formula_sum 'Ba1 Y1 V2 Bi1'
_cell_length_a 5.027
_cell_length_b 5.027
_cell_length_c 5.718
_cell_angle_alpha 90.00
_cell_angle_beta 90.00
_cell_angle_gamma 90.00
_symmetry_space_group_name_H-M 'P 4/m m m'
_symmetry_Int_Tables_number 123
_symmetry_space_group_name_Hall '-P 4 2'
loop_
_atom_site_label
_atom_site_type_symbol
_atom_site_fract_x
_atom_site_fract_y
_atom_site_fract_z
Ba1 Ba 0.000 0.000 0.000
Y1 Y 0.000 0.000 0.500
V1 V 0.000 0.500 0.000
Bi1 Bi 0.500 0.500 0.500
# Energy of formation in kJ per mole of atoms: 162
# Final energy in eV/atom: -4.423

---

# 7
# BaBi2W, optimized geometry, DFT GGA-PBE
data_BaBi2W
_chemical_formula_sum 'Ba4 Bi8 W4'
_cell_length_a 6.310
_cell_length_b 6.310
_cell_length_c 16.737
_cell_angle_alpha 90.00
_cell_angle_beta 90.00
_cell_angle_gamma 90.00
_symmetry_space_group_name_H-M 'I -4 2 d'
_symmetry_Int_Tables_number 122
_symmetry_space_group_name_Hall 'I -4 2bw'
loop_
_atom_site_label
_atom_site_type_symbol
_atom_site_fract_x
_atom_site_fract_y
_atom_site_fract_z
Ba1 Ba 0.000 0.000 0.000
Bi1 Bi 0.075 0.250 0.625
W1 W 0.000 0.000 0.500
# Energy of formation in kJ per mole of atoms: 58
# Final energy in eV/atom: -5.060
# Energy relative to the lowest polymorph listed for this composition in meV per atom: 0

---

# 8
# BaBi2W, optimized geometry, DFT GGA-PBE
data_BaBi2W
_chemical_formula_sum 'Ba4 Bi8 W4'
_cell_length_a 7.647
_cell_length_b 7.647
_cell_length_c 7.647
_cell_angle_alpha 90.00
_cell_angle_beta 90.00
_cell_angle_gamma 90.00
_symmetry_space_group_name_H-M 'F m -3 m'
_symmetry_Int_Tables_number 225
_symmetry_space_group_name_Hall '-F 4 2 3'
loop_
_atom_site_label
_atom_site_type_symbol
_atom_site_fract_x
_atom_site_fract_y
_atom_site_fract_z
Ba1 Ba 0.000 0.000 0.000
Bi1 Bi 0.250 0.250 0.250
W1 W 0.000 0.000 0.500
# Energy of formation in kJ per mole of atoms: 60
# Final energy in eV/atom: -5.043
# Energy relative to the lowest polymorph listed for this composition in meV per atom: 18

---

# 9
# BaBiW2, optimized geometry, DFT GGA-PBE
data_BaBiW2
_chemical_formula_sum 'Ba4 Bi4 W8'
_cell_length_a 8.487
_cell_length_b 8.487
_cell_length_c 6.070
_cell_angle_alpha 90.00
_cell_angle_beta 90.00
_cell_angle_gamma 90.00
_symmetry_space_group_name_H-M 'I -4 2 d'
_symmetry_Int_Tables_number 122
_symmetry_space_group_name_Hall 'I -4 2bw'
loop_
_atom_site_label
_atom_site_type_symbol
_atom_site_fract_x
_atom_site_fract_y
_atom_site_fract_z
Ba1 Ba 0.000 0.000 0.000
Bi1 Bi 0.000 0.000 0.500
W1 W 0.194 0.250 0.625
# Energy of formation in kJ per mole of atoms: 183
# Final energy in eV/atom: -6.028

---

# 10
# Ba2YBi2, optimized geometry, DFT GGA-PBE
data_Ba2YBi2
_chemical_formula_sum 'Ba4 Y2 Bi4'
_cell_length_a 8.885
_cell_length_b 8.885
_cell_length_c 5.033
_cell_angle_alpha 90.00
_cell_angle_beta 90.00
_cell_angle_gamma 90.00
_symmetry_space_group_name_H-M 'P 4/m b m'
_symmetry_Int_Tables_number 127
_symmetry_space_group_name_Hall '-P 4 2ab'
loop_
_atom_site_label
_atom_site_type_symbol
_atom_site_fract_x
_atom_site_fract_y
_atom_site_fract_z
Ba1 Ba 0.144 0.356 0.000
Y1 Y 0.000 0.000 0.500
Bi1 Bi 0.167 0.667 0.500
# Energy of formation in kJ per mole of atoms: -72
# Final energy in eV/atom: -4.363
# Energy relative to the lowest polymorph listed for this composition in meV per atom: 35

---

# 11
# Ba2Y2Bi, optimized geometry, DFT GGA-PBE
data_Ba2Y2Bi
_chemical_formula_sum 'Ba4 Y4 Bi2'
_cell_length_a 8.368
_cell_length_b 8.368
_cell_length_c 5.906
_cell_angle_alpha 90.00
_cell_angle_beta 90.00
_cell_angle_gamma 90.00
_symmetry_space_group_name_H-M 'P 4/m b m'
_symmetry_Int_Tables_number 127
_symmetry_space_group_name_Hall '-P 4 2ab'
loop_
_atom_site_label
_atom_site_type_symbol
_atom_site_fract_x
_atom_site_fract_y
_atom_site_fract_z
Ba1 Ba 0.165 0.335 0.000
Y1 Y 0.149 0.649 0.500
Bi1 Bi 0.000 0.000 0.500
# Energy of formation in kJ per mole of atoms: -14
# Final energy in eV/atom: -4.275

---

# 12
# BaY2Bi2, optimized geometry, DFT GGA-PBE
data_BaY2Bi2
_chemical_formula_sum 'Ba2 Y4 Bi4'
_cell_length_a 4.956
_cell_length_b 4.956
_cell_length_c 15.139
_cell_angle_alpha 90.00
_cell_angle_beta 90.00
_cell_angle_gamma 90.00
_symmetry_space_group_name_H-M 'I 4/m m m'
_symmetry_Int_Tables_number 139
_symmetry_space_group_name_Hall '-I 4 2'
loop_
_atom_site_label
_atom_site_type_symbol
_atom_site_fract_x
_atom_site_fract_y
_atom_site_fract_z
Ba1 Ba 0.000 0.000 0.000
Y1 Y 0.000 0.500 0.250
Bi1 Bi 0.000 0.000 0.382
# Energy of formation in kJ per mole of atoms: -66
# Final energy in eV/atom: -5.206
# Energy relative to the lowest polymorph listed for this composition in meV per atom: 0